Model one:
First-principles (GGA-PBEsol) data for a relaxed Zn2ReOs crystal, as listed in Alexandria.

Results
Space group   Cmm2 (35)

Unit cell a=2.696 b=2.696 c=8.861 alpha=90.00 beta=90.00 gamma=117.22
Sites, in units of the cell vectors:
Os: 0.000 0.000 0.498
Re: 0.500 0.500 0.254
Zn: 0.000 0.000 0.997
Zn: 0.500 0.500 0.751

***

Model two:
First-principles (GGA-PBEsol) data for a relaxed Zn2ReOs crystal, as listed in Alexandria.

Results
Space group   I-4m2 (119)

Unit cell a=4.043 b=4.420 c=4.043 alpha=117.22 beta=90.00 gamma=117.22
Sites, in units of the cell vectors:
Os: 0.500 0.000 0.500
Re: 0.250 0.500 0.750
Zn: 0.000 0.000 0.000
Zn: 0.750 0.500 0.250

***

Model three:
First-principles (GGA-PBEsol) data for a relaxed Zn2ReOs crystal, as listed in Alexandria.

Results
Space group   Pmm2 (25)

Unit cell a=2.800 b=3.678 c=5.449 alpha=90.00 beta=90.00 gamma=90.00
Sites, in units of the cell vectors:
Os: 0.500 0.000 0.519
Re: 0.000 0.500 0.730
Zn: 0.500 0.000 0.016
Zn: 0.000 0.500 0.235

***

model three ends up most stable, edging out the next structure by 0.093 eV/atom.

***

Model one:
First-principles (GGA-PBEsol) data for a relaxed ZrReOs2 crystal, as listed in Alexandria.

Results
Space group   Imm2 (44)

Unit cell a=3.154 b=4.463 c=5.222 alpha=115.30 beta=107.58 gamma=90.00
Sites, in units of the cell vectors:
Os: 0.005 0.005 0.011
Os: 0.242 0.742 0.484
Re: 0.499 0.499 0.999
Zr: 0.753 0.253 0.506

***

Model two:
First-principles (GGA-PBEsol) data for a relaxed ZrReOs2 crystal, as listed in Alexandria.

Results
Space group   P4/mmm (123)

Unit cell a=3.881 b=4.003 c=4.003 alpha=90.00 beta=90.00 gamma=90.00
Sites, in units of the cell vectors:
Os: 0.000 0.000 0.500
Os: 0.000 0.500 0.000
Re: 0.500 0.500 0.500
Zr: 0.500 0.000 0.000

***

Model three:
First-principles (GGA-PBEsol) data for a relaxed ZrReOs2 crystal, as listed in Alexandria.

Results
Space group   I-4m2 (119)

Unit cell a=3.908 b=3.908 c=4.934 alpha=113.33 beta=113.33 gamma=90.00
Sites, in units of the cell vectors:
Os: 0.000 0.000 0.000
Os: 0.750 0.250 0.500
Re: 0.500 0.500 0.000
Zr: 0.250 0.750 0.500

***

Model four:
First-principles (GGA-PBEsol) data for a relaxed ZrReOs2 crystal, as listed in Alexandria.

Results
Space group   Pmm2 (25)

Unit cell a=2.809 b=3.872 c=5.835 alpha=90.00 beta=90.00 gamma=90.00
Sites, in units of the cell vectors:
Os: 0.000 0.000 0.026
Os: 0.500 0.500 0.253
Re: 0.000 0.000 0.465
Zr: 0.500 0.500 0.756

***

model two ends up most stable, edging out the next structure by 0.049 eV/atom.

***

Model one:
First-principles (GGA-PBEsol) data for a relaxed ZrRe2Os crystal, as listed in Alexandria.

Results
Space group   F-43m (216)

Unit cell a=4.463 b=4.463 c=4.463 alpha=60.00 beta=60.00 gamma=60.00
Sites, in units of the cell vectors:
Os: 0.500 0.500 0.500
Re: 0.000 0.000 0.000
Re: 0.250 0.250 0.250
Zr: 0.750 0.750 0.750

***

Model two:
First-principles (GGA-PBEsol) data for a relaxed ZrRe2Os crystal, as listed in Alexandria.

Results
Space group   I-4m2 (119)

Unit cell a=4.057 b=4.057 c=4.786 alpha=115.08 beta=115.08 gamma=90.00
Sites, in units of the cell vectors:
Os: 0.250 0.750 0.500
Re: 0.000 0.000 0.000
Re: 0.750 0.250 0.500
Zr: 0.500 0.500 0.000

***

model one ends up most stable, edging out the next structure by 0.061 eV/atom.

***

Model one:
First-principles (GGA-PBEsol) data for a relaxed Os5Rh crystal, as listed in Alexandria.

Results
Space group   P-62m (189)

Unit cell a=4.315 b=4.717 c=4.717 alpha=120.00 beta=90.00 gamma=90.00
Sites, in units of the cell vectors:
Os: 0.000 0.333 0.333
Os: 0.000 0.667 0.000
Os: 0.000 0.000 0.667
Os: 0.500 0.333 0.667
Os: 0.500 0.667 0.333
Rh: 0.500 0.000 0.000

***

Model two:
First-principles (GGA-PBEsol) data for a relaxed Os5Rh crystal, as listed in Alexandria.

Results
Space group   Cm (8)

Unit cell a=2.721 b=5.103 c=6.392 alpha=103.28 beta=90.00 gamma=105.46
Sites, in units of the cell vectors:
Os: 0.998 0.996 0.001
Os: 0.390 0.780 0.281
Os: 0.667 0.334 0.333
Os: 0.056 0.111 0.608
Os: 0.335 0.670 0.667
Rh: 0.722 0.443 0.944

***

model one ends up most stable, edging out the next structure by 0.015 eV/atom.

***

Model one:
First-principles (GGA-PBEsol) data for a relaxed OsRu2Rh crystal, as listed in Alexandria.

Results
Space group   Cmmm (65)

Unit cell a=2.668 b=4.634 c=4.634 alpha=109.50 beta=90.00 gamma=90.00
Sites, in units of the cell vectors:
Rh: 0.500 0.500 0.500
Os: 0.500 0.000 0.000
Ru: 0.000 0.500 0.000
Ru: 0.000 0.000 0.500

***

Model two:
First-principles (GGA-PBEsol) data for a relaxed OsRu2Rh crystal, as listed in Alexandria.

Results
Space group   Pmmm (47)

Unit cell a=2.670 b=3.784 c=5.351 alpha=90.00 beta=90.00 gamma=90.00
Sites, in units of the cell vectors:
Rh: 0.500 0.500 0.500
Os: 0.500 0.500 0.000
Ru: 0.000 0.000 0.753
Ru: 0.000 0.000 0.247

***

Model three:
First-principles (GGA-PBEsol) data for a relaxed OsRu2Rh crystal, as listed in Alexandria.

Results
Space group   R3m (160)

Unit cell a=2.675 b=2.675 c=8.867 alpha=81.32 beta=81.32 gamma=60.00
Sites, in units of the cell vectors:
Rh: 0.250 0.250 0.249
Os: 0.499 0.499 0.503
Ru: 0.001 0.001 0.997
Ru: 0.750 0.750 0.751

***

model two ends up most stable, edging out the next structure by 0.007 eV/atom.

***

Model one:
First-principles (GGA-PBEsol) data for a relaxed OsRu2Rh crystal, as listed in Alexandria.

Results
Space group   Cm (8)

Unit cell a=2.669 b=4.635 c=4.632 alpha=99.54 beta=106.74 gamma=90.00
Sites, in units of the cell vectors:
Rh: 0.249 0.750 0.499
Os: 0.499 0.497 0.997
Ru: 0.002 0.004 0.004
Ru: 0.750 0.250 0.500

***

Model two:
First-principles (GGA-PBEsol) data for a relaxed OsRu2Rh crystal, as listed in Alexandria.

Results
Space group   P4/mmm (123)

Unit cell a=2.667 b=2.667 c=7.595 alpha=90.00 beta=90.00 gamma=90.00
Sites, in units of the cell vectors:
Rh: 0.500 0.500 0.500
Os: 0.500 0.500 0.000
Ru: 0.000 0.000 0.751
Ru: 0.000 0.000 0.249

***

model two ends up most stable, edging out the next structure by 0.009 eV/atom.

***

Model one:
First-principles (GGA-PBEsol) data for a relaxed OsRu2Rh crystal, as listed in Alexandria.

Results
Space group   R-3m (166)

Unit cell a=2.676 b=2.676 c=8.866 alpha=81.32 beta=81.32 gamma=60.00
Sites, in units of the cell vectors:
Rh: 0.000 0.000 0.000
Os: 0.500 0.500 0.500
Ru: 0.249 0.249 0.252
Ru: 0.751 0.751 0.748

***

Model two:
First-principles (GGA-PBEsol) data for a relaxed OsRu2Rh crystal, as listed in Alexandria.

Results
Space group   P4mm (99)

Unit cell a=2.663 b=2.663 c=7.618 alpha=90.00 beta=90.00 gamma=90.00
Sites, in units of the cell vectors:
Rh: 0.500 0.500 0.751
Os: 0.000 0.000 0.498
Ru: 0.000 0.000 0.002
Ru: 0.500 0.500 0.249

***

model one ends up most stable, edging out the next structure by 0.005 eV/atom.

***

Model one:
First-principles (GGA-PBEsol) data for a relaxed OsRh3S crystal, as listed in Alexandria.

Results
Space group   Pm-3m (221)

Unit cell a=4.257 b=4.257 c=4.257 alpha=90.00 beta=90.00 gamma=90.00
Sites, in units of the cell vectors:
Rh: 0.000 0.500 0.000
Rh: 0.000 0.000 0.500
Rh: 0.500 0.000 0.000
S: 0.000 0.000 0.000
Os: 0.500 0.500 0.500

***

Model two:
First-principles (GGA-PBEsol) data for a relaxed OsRh3S crystal, as listed in Alexandria.

Results
Space group   Pm-3m (221)

Unit cell a=4.623 b=4.623 c=4.623 alpha=90.00 beta=90.00 gamma=90.00
Sites, in units of the cell vectors:
Rh: 0.000 0.500 0.000
Rh: 0.000 0.000 0.500
Rh: 0.500 0.000 0.000
S: 0.500 0.500 0.500
Os: 0.000 0.000 0.000

***

model one ends up most stable, edging out the next structure by 0.825 eV/atom.